Record 1
BaPb3Se: optimized geometry, PBE.

a b c (Å): 5.7843 5.7843 5.7843
angles (deg): 90.00 90.00 90.00
Element x y z (fractional)
1 Ba 0.0000 0.0000 0.0000
2 Pb 0.0000 0.5000 0.5000
3 Pb 0.5000 0.0000 0.5000
4 Pb 0.5000 0.5000 0.0000
5 Se 0.5000 0.5000 0.5000

Relative energy among the computed polymorphs: 0 meV/atom
Symmetry: Pm-3m (221)
Crystal system: cubic
Fermi-level density of states: 0.5621 states/eV/atom

=====

Record 2
Ba4PbSe: optimized geometry, PBE.

a b c (Å): 7.1064 7.1064 7.1064
angles (deg): 60.00 60.00 60.00
Element x y z (fractional)
1 Ba 0.1254 0.1254 0.1254
2 Ba 0.1254 0.1254 0.6238
3 Ba 0.1254 0.6238 0.1254
4 Ba 0.6238 0.1254 0.1254
5 Pb 0.7500 0.7500 0.7500
6 Se 0.5000 0.5000 0.5000

Symmetry: F-43m (216)
Crystal system: cubic
Fermi-level density of states: 0.7669 states/eV/atom

=====

Record 3
BaPbSe2: optimized geometry, PBE.

a b c (Å): 7.8829 7.8829 7.8829
angles (deg): 33.70 33.70 33.70
Element x y z (fractional)
1 Ba 0.0000 0.0000 0.0000
2 Pb 0.5000 0.5000 0.5000
3 Se 0.2456 0.2456 0.2456
4 Se 0.7544 0.7544 0.7544

Symmetry: R-3m (166)
Crystal system: trigonal
Fermi-level density of states: 0.0000 states/eV/atom

=====

Record 4
BaPb2Se: optimized geometry, PBE.

a b c (Å): 4.8794 4.8794 5.9588
angles (deg): 90.00 90.00 97.60
Element x y z (fractional)
1 Ba 0.0000 0.0000 0.0000
2 Pb 0.2978 0.7022 0.5000
3 Pb 0.7022 0.2978 0.5000
4 Se 0.5000 0.5000 0.0000

Symmetry: Cmmm (65)
Crystal system: orthorhombic
Fermi-level density of states: 0.4602 states/eV/atom

=====

Record 5
BaPb3Se: optimized geometry, PBE.

a b c (Å): 6.3538 6.3538 6.3538
angles (deg): 90.00 90.00 90.00
Element x y z (fractional)
1 Ba 0.0000 0.0000 0.0000
2 Pb 0.0000 0.0000 0.5000
3 Pb 0.0000 0.5000 0.0000
4 Pb 0.5000 0.0000 0.0000
5 Se 0.5000 0.5000 0.5000

Relative energy among the computed polymorphs: 1181 meV/atom
Symmetry: Pm-3m (221)
Crystal system: cubic
Fermi-level density of states: 2.4062 states/eV/atom

=====

Record 6
Ba2PbSe: optimized geometry, PBE.

a b c (Å): 9.7963 9.7963 9.7963
angles (deg): 155.67 154.92 35.22
Element x y z (fractional)
1 Ba 0.0000 0.0000 0.0000
2 Ba 0.7155 0.2155 0.5000
3 Pb 0.3371 0.8371 0.5000
4 Se 0.5779 0.5779 0.0000

Relative energy among the computed polymorphs: 68 meV/atom
Symmetry: Imm2 (44)
Crystal system: orthorhombic
Fermi-level density of states: 0.4687 states/eV/atom

=====

Record 7
BaPb2Se: optimized geometry, PBE.

a b c (Å): 4.6048 4.6165 6.3643
angles (deg): 90.00 90.00 90.00
Element x y z (fractional)
1 Ba 0.0000 0.0000 0.0000
2 Pb 0.0000 0.5000 0.5000
3 Pb 0.5000 0.0000 0.5000
4 Se 0.5000 0.5000 0.0000

Symmetry: Pmmm (47)
Crystal system: orthorhombic
Fermi-level density of states: 0.7153 states/eV/atom

=====

Record 8
BaPbSe2: optimized geometry, PBE.

a b c (Å): 8.1512 8.1512 8.1512
angles (deg): 31.88 31.88 31.88
Element x y z (fractional)
1 Ba 0.0000 0.0000 0.0000
2 Pb 0.1690 0.1690 0.1690
3 Se 0.5798 0.5798 0.5798
4 Se 0.7567 0.7567 0.7567

Symmetry: R3m (160)
Crystal system: trigonal

=====

| no. | ΔE_f (raw) (eV/atom) |
| --- | --- |
| 1 | -0.16 |
| 2 | 0.00 |
| 3 | -1.29 |
| 4 | -0.64 |
| 5 | 1.02 |
| 6 | -1.09 |
| 7 | -0.61 |
| 8 | -1.23 |